Entry 1:
Below is a relaxed structure of NbNiS2, with properties calculated at the PBE-GGA level.

Magnetic moment in μB per atom: 0.000
ΔE_f (raw) in eV/f.u.: -2.984
VASP energy in Ry/atom: -0.498

Cell and atoms, written as POSCAR:
```
NbNiS2
1.0
5.963 0.000 0.000
0.000 6.946 -3.378
0.000 -0.559 7.710
Nb Ni S
4 4 8
Cartesian
2.833 0.949 3.016
5.815 1.965 3.005
3.130 5.438 1.316
0.149 4.423 1.327
3.811 2.802 1.330
0.830 0.113 4.691
2.152 3.586 3.002
5.134 6.275 -0.359
4.560 0.630 1.242
1.579 2.284 4.779
1.403 5.757 3.090
4.385 4.104 -0.447
4.456 3.989 3.164
1.474 5.871 -0.522
1.507 2.398 1.168
4.489 0.516 4.853
```

=====

Entry 2:
Below is a relaxed structure of ErMgBi, with properties calculated at the PBE-GGA level.

Magnetic moment in μB per atom: 0.000
Offset from the most stable computed form in meV per atom: 0.0
VASP energy in Ry/atom: -0.265
Formation enthalpy at 0 K in eV per atom: -0.257

Cell and atoms, written as POSCAR:
```
ErMgBi
1.0
3.998 0.000 0.000
0.000 4.849 0.000
0.000 -2.424 4.199
Mg Bi Er
1 1 1
Cartesian
3.501 0.000 0.000
3.177 2.424 1.400
1.318 0.000 2.800
```

=====

Entry 3:
Below is a relaxed structure of SrLiAcAs, with properties calculated at the PBE-GGA level.

Magnetic moment in μB per atom: 0.000
VASP energy in Ry/atom: -0.258
Formation enthalpy at 0 K in eV per atom: -0.418

Cell and atoms, written as POSCAR:
```
SrLiAcAs
1.0
5.517 0.000 0.000
2.759 4.778 0.000
2.759 1.593 4.505
Sr Ac As Li
1 1 1 1
Cartesian
0.000 0.000 0.000
5.517 3.185 2.252
2.759 1.593 1.126
8.276 4.778 3.378
```

=====

Entry 4:
Below is a relaxed structure of HoSc2Tl, with properties calculated at the PBE-GGA level.

Magnetic moment in μB per atom: 0.000
Offset from the most stable computed form in meV per atom: 81.6
VASP energy in Ry/atom: -0.367
Formation enthalpy at 0 K in eV per atom: -0.097

Cell and atoms, written as POSCAR:
```
HoSc2Tl
1.0
4.462 0.000 0.000
-2.231 5.896 0.000
0.000 0.000 8.080
Ho Sc Tl
2 4 2
Cartesian
2.231 5.218 2.020
0.000 0.679 6.060
0.000 4.347 4.461
2.231 1.550 3.619
0.000 4.347 7.659
2.231 1.550 0.421
2.230 3.217 6.060
0.000 2.680 2.020
```

=====

Entry 5:
Below is a relaxed structure of TbPrAs, with properties calculated at the PBE-GGA level.

Magnetic moment in μB per atom: 0.361
VASP energy in Ry/atom: -0.407
Formation enthalpy at 0 K in eV per atom: -0.844

Cell and atoms, written as POSCAR:
```
TbPrAs
1.0
-4.232 4.009 3.272
-0.912 -3.033 2.537
3.059 2.521 0.868
Pr As Tb
1 1 1
Cartesian
-2.710 1.775 4.394
-0.038 0.036 0.029
0.663 1.686 2.254
```

=====

Entry 6:
Below is a relaxed structure of Si2MoAu, with properties calculated at the PBE-GGA level.

Magnetic moment in μB per atom: 0.000
ΔE_f (raw) in eV/f.u.: 2.161
Offset from the most stable computed form in meV per atom: 603.8
VASP energy in Ry/atom: -0.419

Cell and atoms, written as POSCAR:
```
Si2MoAu
1.0
-3.147 1.529 2.796
-3.955 -2.083 0.275
-1.052 -2.330 3.677
Au Mo Si
1 1 2
Cartesian
-4.077 -1.442 3.374
-6.116 -2.163 5.061
0.000 0.000 0.000
-2.039 -0.721 1.687
```

=====

Entry 7:
Below is a relaxed structure of PrMg2Tl2, with properties calculated at the PBE-GGA level.

Magnetic moment in μB per atom: 0.000
VASP energy in Ry/atom: -0.202
Formation enthalpy at 0 K in eV per atom: -0.205

Cell and atoms, written as POSCAR:
```
PrMg2Tl2
1.0
4.584 0.000 0.000
0.000 4.584 0.000
-2.292 -2.292 6.399
Pr Mg Tl
1 2 2
Cartesian
0.000 0.000 0.000
2.292 0.000 3.199
0.000 2.292 3.199
2.292 2.292 1.435
0.000 0.000 4.964
```

=====

Entry 8:
Below is a relaxed structure of NpAlNi, with properties calculated at the PBE-GGA level.

Magnetic moment in μB per atom: 1.111
VASP energy in Ry/atom: -0.565
Formation enthalpy at 0 K in eV per atom: -0.196

Cell and atoms, written as POSCAR:
```
NpAlNi
1.0
-0.569 1.523 -2.354
-1.292 -2.274 -1.160
-4.180 2.084 4.098
Np Ni Al
1 1 1
Cartesian
-0.109 0.036 0.050
-2.826 0.258 -0.888
-3.106 1.039 1.423
```